Entry from Alexandria: a relaxed LiErMgSc crystal (PBE).

```
4
Lattice="0.000 3.645 3.645 3.645 0.000 3.645 3.645 3.645 0.000" Properties=species:S:1:pos:R:3 pbc="T T T"
Li 0.000 0.000 0.000
Er 1.822 1.822 1.822
Mg 3.645 3.645 3.645
Sc 5.467 5.467 5.467
```

As for the space group: F-43m (216). The calculation puts the total energy at -3.515 eV per atom. For the energy of formation from the pure elements, the calculation gives 0.086 eV per atom.